# 1
TlGaHAu2 after structural relaxation, computed with GGA-PBE.

a = 5.204 Å, b = 5.204 Å, c = 3.560 Å
α = 90.00°, β = 90.00°, γ = 90.00°
Fractional positions:
Tl (0.000, 0.000, 0.000)
Ga (0.500, 0.500, 0.500)
H (0.500, 0.500, 0.000)
Au (0.000, 0.500, 0.500)
Au (0.500, 0.000, 0.500)

# 2
V2GaHAu after structural relaxation, computed with GGA-PBE.

a = 3.762 Å, b = 3.762 Å, c = 4.347 Å
α = 90.00°, β = 90.00°, γ = 90.00°
Fractional positions:
V (0.000, 0.500, 0.000)
V (0.500, 0.000, 0.000)
Ga (0.000, 0.000, 0.500)
H (0.500, 0.500, 0.000)
Au (0.500, 0.500, 0.500)

Properties
energy relative to the lowest polymorph listed for this composition = 0 meV/atom

# 3
Zr2GaHAu after structural relaxation, computed with GGA-PBE.

a = 4.364 Å, b = 4.364 Å, c = 4.197 Å
α = 90.00°, β = 90.00°, γ = 90.00°
Fractional positions:
Zr (0.000, 0.500, 0.000)
Zr (0.500, 0.000, 0.000)
Ga (0.000, 0.000, 0.500)
H (0.500, 0.500, 0.000)
Au (0.500, 0.500, 0.500)

# 4
Hf6Ga2Au after structural relaxation, computed with GGA-PBE.

a = 5.350 Å, b = 7.955 Å, c = 10.062 Å
α = 90.00°, β = 119.46°, γ = 90.00°
Fractional positions:
Hf (0.012, 0.163, 0.424)
Hf (0.012, 0.337, 0.924)
Hf (0.370, 0.680, 0.431)
Hf (0.370, 0.820, 0.931)
Hf (0.413, 0.025, 0.320)
Hf (0.413, 0.475, 0.820)
Hf (0.587, 0.525, 0.180)
Hf (0.587, 0.975, 0.680)
Hf (0.630, 0.180, 0.069)
Hf (0.630, 0.320, 0.569)
Hf (0.988, 0.663, 0.076)
Hf (0.988, 0.837, 0.576)
Ga (0.175, 0.133, 0.750)
Ga (0.175, 0.367, 0.250)
Ga (0.825, 0.633, 0.750)
Ga (0.825, 0.867, 0.250)
Au (0.000, 0.000, 0.000)
Au (0.000, 0.500, 0.500)

Properties
E_form = -203 meV per atom

# 5
Hf3GaAu after structural relaxation, computed with GGA-PBE.

a = 5.573 Å, b = 5.573 Å, c = 14.033 Å
α = 101.40°, β = 101.40°, γ = 75.19°
Fractional positions:
Hf (0.064, 0.566, 0.359)
Hf (0.092, 0.209, 0.965)
Hf (0.175, 0.681, 0.848)
Hf (0.209, 0.092, 0.465)
Hf (0.319, 0.825, 0.652)
Hf (0.434, 0.936, 0.141)
Hf (0.566, 0.064, 0.859)
Hf (0.681, 0.175, 0.348)
Hf (0.791, 0.908, 0.535)
Hf (0.825, 0.319, 0.152)
Hf (0.908, 0.791, 0.035)
Hf (0.936, 0.434, 0.641)
Ga (0.068, 0.932, 0.250)
Ga (0.500, 0.500, 0.000)
Ga (0.500, 0.500, 0.500)
Ga (0.932, 0.068, 0.750)
Au (0.283, 0.456, 0.168)
Au (0.456, 0.283, 0.668)
Au (0.544, 0.717, 0.332)
Au (0.717, 0.544, 0.832)

Properties
E_form = -222 meV per atom
energy relative to the lowest polymorph listed for this composition = 0 meV/atom

# 6
HfGa2Au after structural relaxation, computed with GGA-PBE.

a = 6.591 Å, b = 6.591 Å, c = 6.591 Å
α = 90.00°, β = 90.00°, γ = 90.00°
Fractional positions:
Hf (0.000, 0.000, 0.000)
Hf (0.000, 0.500, 0.500)
Hf (0.500, 0.000, 0.500)
Hf (0.500, 0.500, 0.000)
Ga (0.250, 0.250, 0.250)
Ga (0.250, 0.250, 0.750)
Ga (0.250, 0.750, 0.250)
Ga (0.250, 0.750, 0.750)
Ga (0.750, 0.250, 0.250)
Ga (0.750, 0.250, 0.750)
Ga (0.750, 0.750, 0.250)
Ga (0.750, 0.750, 0.750)
Au (0.000, 0.000, 0.500)
Au (0.000, 0.500, 0.000)
Au (0.500, 0.000, 0.000)
Au (0.500, 0.500, 0.500)

Properties
E_form = -138 meV per atom

# 7
Hf2Ga2Au5 after structural relaxation, computed with GGA-PBE.

a = 9.287 Å, b = 9.287 Å, c = 9.287 Å
α = 61.31°, β = 134.73°, γ = 140.92°
Fractional positions:
Hf (0.079, 0.120, 0.199)
Hf (0.079, 0.380, 0.459)
Hf (0.921, 0.620, 0.541)
Hf (0.921, 0.880, 0.801)
Ga (0.257, 0.554, 0.203)
Ga (0.352, 0.054, 0.797)
Ga (0.633, 0.133, 0.500)
Ga (0.633, 0.633, 0.000)
Au (0.099, 0.294, 0.819)
Au (0.099, 0.780, 0.305)
Au (0.463, 0.792, 0.990)
Au (0.463, 0.973, 0.171)
Au (0.476, 0.280, 0.181)
Au (0.476, 0.794, 0.695)
Au (0.491, 0.427, 0.564)
Au (0.801, 0.292, 0.829)
Au (0.801, 0.473, 0.010)
Au (0.864, 0.927, 0.436)

Properties
E_form = -181 meV per atom

# 8
HfGa2Au2 after structural relaxation, computed with GGA-PBE.

a = 7.588 Å, b = 7.588 Å, c = 3.151 Å
α = 90.00°, β = 90.00°, γ = 90.00°
Fractional positions:
Hf (0.000, 0.000, 0.000)
Hf (0.500, 0.500, 0.000)
Ga (0.134, 0.366, 0.000)
Ga (0.366, 0.866, 0.000)
Ga (0.634, 0.134, 0.000)
Ga (0.866, 0.634, 0.000)
Au (0.165, 0.665, 0.500)
Au (0.335, 0.165, 0.500)
Au (0.665, 0.835, 0.500)
Au (0.835, 0.335, 0.500)

Properties
E_form = -188 meV per atom

no.,final energy (eV per cell)
1,-14.81
2,-28.28
3,-28.87
4,-141.76
5,-149.10
6,-79.35
7,-87.95
8,-47.00